Arrangement one

## LiGdW2O8 (PBE+U)

Data for an optimized crystal structure of LiGdW2O8.

Cell lengths 6.735, 6.735, 6.735 Å; angles 133.99, 133.99, 67.11 degrees
Site moments in Bohr magnetons follow the coordinates.
Fractional positions:
Li  0.250  0.750  0.500  0.00
Gd  0.000  0.000  0.000  6.93
W  0.750  0.250  0.500  0.01
W  0.500  0.500  0.000  0.01
O  0.999  0.098  0.416  0.00
O  0.682  0.583  0.584  0.00
O  0.832  0.751  0.408  0.00
O  0.342  0.423  0.592  0.00
O  0.249  0.658  0.081  0.00
O  0.577  0.168  0.919  0.00
O  0.417  0.001  0.099  0.00
O  0.902  0.318  0.901  0.00

Results
* space-group type: I-4 (82)

Arrangement two

## LiGdW2O8 (PBE+U)

Data for an optimized crystal structure of LiGdW2O8.

Cell lengths 6.064, 5.088, 11.123 Å; angles 65.60, 90.00, 90.00 degrees
Site moments in Bohr magnetons follow the coordinates.
Fractional positions:
Li  0.753  0.000  0.750  0.00
Li  0.247  0.000  0.250  0.00
Gd  0.334  0.500  0.750  6.92
Gd  0.666  0.500  0.250  6.92
W  0.832  0.736  0.513  0.01
W  0.168  0.264  0.487  0.01
W  0.832  0.264  0.987  0.01
W  0.168  0.736  0.013  0.01
O  0.890  0.845  0.097  0.00
O  0.110  0.155  0.903  0.00
O  0.890  0.155  0.403  0.00
O  0.110  0.845  0.597  0.00
O  0.364  0.720  0.891  -0.01
O  0.636  0.280  0.109  -0.01
O  0.364  0.280  0.609  -0.01
O  0.636  0.720  0.391  -0.01
O  0.912  0.659  0.891  -0.01
O  0.088  0.341  0.109  -0.01
O  0.912  0.341  0.609  -0.01
O  0.088  0.659  0.391  -0.01
O  0.645  0.768  0.635  0.00
O  0.355  0.232  0.365  0.00
O  0.645  0.232  0.865  0.00
O  0.355  0.768  0.135  0.00

Results
* space-group type: P2/c (13)

The structure shown above that is least stable: arrangement one.